# K2ScFe (GGA-PBE, optimized geometry)
data_K2ScFe
_chemical_formula_sum 'K4 Sc2 Fe2'
_symmetry_space_group_name_H-M 'I -4 m 2'
_symmetry_Int_Tables_number 119
_symmetry_space_group_name_Hall 'I -4 -2'
_cell_length_a 5.582
_cell_length_b 5.582
_cell_length_c 7.886
_cell_angle_alpha 90.00
_cell_angle_beta 90.00
_cell_angle_gamma 90.00
loop_
_atom_site_label
_atom_site_type_symbol
_atom_site_fract_x
_atom_site_fract_y
_atom_site_fract_z
K1 K 0.000 0.000 0.000
K2 K 0.000 0.500 0.250
Sc1 Sc 0.000 0.500 0.750
Fe1 Fe 0.000 0.000 0.500
# excess energy over the best structure of this formula in the dataset: 213 kJ/mol of formula units
# density of states at the Fermi level: 21.82 states/eV per cell
# total moment: 2.11 μB/cell
# VASP energy: -3.191 eV/atom